No. 1
Computed, not measured: an optimized crystal structure of Pr4CdCuHg2 at the PBE level of DFT.

Cell: 9.316 9.316 9.316 Å, 33.73 33.73 33.73°
Fractional coordinates of all 8 atoms:
Pr 0.118 0.118 0.118
Pr 0.369 0.369 0.369
Pr 0.631 0.631 0.631
Pr 0.882 0.882 0.882
Cd 0.500 0.500 0.500
Cu 0.000 0.000 0.000
Hg 0.243 0.243 0.243
Hg 0.757 0.757 0.757

V in Å³ per cell: 222.14
Space group: R-3m, No. 166
N(E_F) in states/eV per cell: 8.0
Calculated total energy in eV/cell: -27.43
Spin magnetization in μB/f.u.: 0.94



No. 2
Computed, not measured: an optimized crystal structure of PrCdCuHg at the PBE level of DFT.

Cell: 7.125 7.125 7.125 Å, 90.00 90.00 90.00°
Fractional coordinates of all 16 atoms:
Pr 0.000 0.000 0.000
Pr 0.000 0.500 0.500
Pr 0.500 0.000 0.500
Pr 0.500 0.500 0.000
Cd 0.000 0.000 0.500
Cd 0.000 0.500 0.000
Cd 0.500 0.000 0.000
Cd 0.500 0.500 0.500
Cu 0.250 0.250 0.750
Cu 0.250 0.750 0.250
Cu 0.750 0.250 0.250
Cu 0.750 0.750 0.750
Hg 0.250 0.250 0.250
Hg 0.250 0.750 0.750
Hg 0.750 0.250 0.750
Hg 0.750 0.750 0.250

V in Å³ per cell: 361.78
Space group: F-43m, No. 216
N(E_F) in states/eV per cell: 12.0
Calculated total energy in eV/cell: -44.54
Spin magnetization in μB/f.u.: 0.00



No. 3
Computed, not measured: an optimized crystal structure of RbCd2CuHg at the PBE level of DFT.

Cell: 5.240 5.240 5.300 Å, 90.00 90.00 90.00°
Fractional coordinates of all 5 atoms:
Rb 0.000 0.000 0.000
Cd 0.000 0.500 0.500
Cd 0.500 0.000 0.500
Cu 0.500 0.500 0.500
Hg 0.500 0.500 0.000

V in Å³ per cell: 145.50
Space group: P4/mmm, No. 123
N(E_F) in states/eV per cell: 2.4
Calculated total energy in eV/cell: -7.18
Spin magnetization in μB/f.u.: 0.00



No. 4
Computed, not measured: an optimized crystal structure of Rb2CdCuHg at the PBE level of DFT.

Cell: 6.503 6.503 5.149 Å, 90.00 90.00 90.00°
Fractional coordinates of all 5 atoms:
Rb 0.000 0.500 0.000
Rb 0.500 0.000 0.000
Cd 0.000 0.000 0.500
Cu 0.000 0.000 0.000
Hg 0.500 0.500 0.500

V in Å³ per cell: 217.78
Space group: P4/mmm, No. 123
N(E_F) in states/eV per cell: 4.6
Calculated total energy in eV/cell: -6.66
Spin magnetization in μB/f.u.: 0.22



- Among the records above, which one has the lowest V?
  RbCd2CuHg